DFT (PBE) results for a relaxed Lu2Te3O9 crystal.

```
data_Lu2Te3O9
_space_group_name_H-M_alt 'P -1'
_space_group_IT_number 2
_space_group_name_Hall '-P 1'
_cell_length_a 6.961
_cell_length_b 13.410
_cell_length_c 14.731
_cell_angle_alpha 110.34
_cell_angle_beta 90.59
_cell_angle_gamma 100.59
loop_
_atom_site_label
_atom_site_fract_x
_atom_site_fract_y
_atom_site_fract_z
_atom_site_occupancy
Lu1 0.007 0.262 0.470 1
Lu2 0.249 0.558 0.973 1
Lu3 0.255 0.041 0.964 1
Lu4 0.313 0.277 0.832 1
Lu5 0.339 0.769 0.839 1
Lu6 0.409 0.169 0.575 1
Te1 0.010 0.464 0.359 1
Te2 0.128 0.918 0.383 1
Te3 0.134 0.146 0.225 1
Te4 0.153 0.652 0.206 1
Te5 0.231 0.854 0.078 1
Te6 0.268 0.326 0.070 1
Te7 0.359 0.981 0.692 1
Te8 0.432 0.472 0.731 1
Te9 0.461 0.692 0.573 1
O1 0.010 0.757 0.186 1
O2 0.046 0.538 0.086 1
O3 0.050 0.177 0.573 1
O4 0.065 0.948 0.060 1
O5 0.096 0.860 0.850 1
O6 0.103 0.894 0.658 1
O7 0.114 0.412 0.601 1
O8 0.126 0.610 0.562 1
O9 0.140 0.719 0.975 1
O10 0.153 0.288 0.321 1
O11 0.158 0.612 0.754 1
O12 0.275 0.440 0.826 1
O13 0.278 0.999 0.504 1
O14 0.288 0.204 0.949 1
O15 0.290 0.119 0.708 1
O16 0.307 0.223 0.459 1
O17 0.309 0.172 0.127 1
O18 0.309 0.495 0.205 1
O19 0.323 0.834 0.339 1
O20 0.324 0.758 0.503 1
O21 0.344 0.412 0.989 1
O22 0.365 0.686 0.131 1
O23 0.399 0.007 0.826 1
O24 0.403 0.901 0.989 1
O25 0.435 0.320 0.689 1
O26 0.443 0.785 0.701 1
O27 0.457 0.649 0.886 1
```

***

DFT (PBE) results for a relaxed LuTeO crystal.

```
data_LuTeO
_space_group_name_H-M_alt 'P 3 m 1'
_space_group_IT_number 156
_space_group_name_Hall 'P 3 -2"'
_cell_length_a 3.5388
_cell_length_b 3.5388
_cell_length_c 6.6130
_cell_angle_alpha 90.00
_cell_angle_beta 90.00
_cell_angle_gamma 120.00
loop_
_atom_site_label
_atom_site_fract_x
_atom_site_fract_y
_atom_site_fract_z
_atom_site_occupancy
Lu1 0.0000 0.0000 0.0000 1
Te1 0.3333 0.6667 0.6314 1
O1 0.6667 0.3333 0.0893 1
```

***

DFT (PBE) results for a relaxed LuThO crystal.

```
data_LuThO
_space_group_name_H-M_alt 'P 3 m 1'
_space_group_IT_number 156
_space_group_name_Hall 'P 3 -2"'
_cell_length_a 3.5004
_cell_length_b 3.5004
_cell_length_c 6.0370
_cell_angle_alpha 90.00
_cell_angle_beta 90.00
_cell_angle_gamma 120.00
loop_
_atom_site_label
_atom_site_fract_x
_atom_site_fract_y
_atom_site_fract_z
_atom_site_occupancy
Lu1 0.0000 0.0000 0.0000 1
Th1 0.6667 0.3333 0.5164 1
O1 0.3333 0.6667 0.8236 1
```

***

DFT (PBE) results for a relaxed Lu3Ti5O12 crystal.

```
data_Lu3Ti5O12
_space_group_name_H-M_alt 'I a -3 d'
_space_group_IT_number 230
_space_group_name_Hall '-I 4bd 2c 3'
_cell_length_a 12.448
_cell_length_b 12.448
_cell_length_c 12.448
_cell_angle_alpha 90.00
_cell_angle_beta 90.00
_cell_angle_gamma 90.00
loop_
_atom_site_label
_atom_site_fract_x
_atom_site_fract_y
_atom_site_fract_z
_atom_site_occupancy
Lu1 0.000 0.250 0.125 1
Ti1 0.000 0.000 0.000 1
Ti2 0.000 0.250 0.375 1
O1 0.025 0.061 0.654 1
```

***

DFT (PBE) results for a relaxed LuTi2O crystal.

```
data_LuTi2O
_space_group_name_H-M_alt 'R -3 m'
_space_group_IT_number 166
_space_group_name_Hall '-R 3 2"'
_cell_length_a 3.1716
_cell_length_b 3.1716
_cell_length_c 23.7122
_cell_angle_alpha 90.00
_cell_angle_beta 90.00
_cell_angle_gamma 120.00
loop_
_atom_site_label
_atom_site_fract_x
_atom_site_fract_y
_atom_site_fract_z
_atom_site_occupancy
Lu1 0.0000 0.0000 0.0000 1
Ti1 0.0000 0.0000 0.1240 1
O1 0.0000 0.0000 0.5000 1
```

***

DFT (PBE) results for a relaxed Lu10Ti6O27 crystal.

```
data_Lu10Ti6O27
_space_group_name_H-M_alt 'C 1 m 1'
_space_group_IT_number 8
_space_group_name_Hall 'C -2y'
_cell_length_a 12.783
_cell_length_b 7.157
_cell_length_c 12.274
_cell_angle_alpha 90.00
_cell_angle_beta 110.31
_cell_angle_gamma 90.00
loop_
_atom_site_label
_atom_site_fract_x
_atom_site_fract_y
_atom_site_fract_z
_atom_site_occupancy
Lu1 0.000 0.000 0.000 1
Lu2 0.002 0.000 0.508 1
Lu3 0.013 0.243 0.256 1
Lu4 0.032 0.500 0.995 1
Lu5 0.258 0.000 0.272 1
Lu6 0.268 0.000 0.771 1
Lu7 0.273 0.500 0.240 1
Lu8 0.493 0.255 0.739 1
Ti1 0.013 0.500 0.511 1
Ti2 0.254 0.255 0.494 1
Ti3 0.258 0.239 0.008 1
Ti4 0.270 0.500 0.756 1
O1 0.082 0.000 0.189 1
O2 0.088 0.000 0.695 1
O3 0.101 0.215 0.943 1
O4 0.105 0.254 0.479 1
O5 0.111 0.500 0.679 1
O6 0.196 0.293 0.316 1
O7 0.219 0.500 0.050 1
O8 0.261 0.000 0.453 1
O9 0.278 0.000 0.954 1
O10 0.280 0.319 0.868 1
O11 0.298 0.246 0.665 1
O12 0.310 0.214 0.172 1
O13 0.320 0.500 0.497 1
O14 0.433 0.500 0.800 1
O15 0.439 0.207 0.547 1
O16 0.447 0.500 0.320 1
O17 0.451 0.000 0.814 1
O18 0.461 0.000 0.344 1
O19 0.462 0.223 0.068 1
```

***

DFT (PBE) results for a relaxed LuTiO2 crystal.

```
data_LuTiO2
_space_group_name_H-M_alt 'R -3 m'
_space_group_IT_number 166
_space_group_name_Hall '-R 3 2"'
_cell_length_a 3.4378
_cell_length_b 3.4378
_cell_length_c 17.5794
_cell_angle_alpha 90.00
_cell_angle_beta 90.00
_cell_angle_gamma 120.00
loop_
_atom_site_label
_atom_site_fract_x
_atom_site_fract_y
_atom_site_fract_z
_atom_site_occupancy
Lu1 0.0000 0.0000 0.0000 1
Ti1 0.0000 0.0000 0.5000 1
O1 0.0000 0.0000 0.3904 1
```

***

no.,total magnetization (μB per formula unit),calculated total energy (eV/atom),formation energy (no corrections) (eV per formula unit)
1,0.000,-6.546,-28.55
2,0.000,-6.431,-6.67
3,0.701,-7.292,-4.98
4,4.457,-8.677,-61.01
5,0.000,-7.261,-3.78
6,0.000,-8.637,-144.92
7,0.001,-8.329,-10.98